No. 1
Entry from Alexandria: a relaxed structure of KZnWCl2 (PBE).

```
KZnWCl2
1.0
5.600 0.000 0.000
0.000 5.600 0.000
0.000 0.000 6.377
K Zn W Cl
1 1 1 2
Direct
0.000 0.000 0.000
0.500 0.500 0.500
0.000 0.000 0.500
0.000 0.500 0.000
0.500 0.000 0.000
```

## Properties
Crystal system: tetragonal
Magnetic moment in μB per cell: 5.0
Fermi-level density of states in states/eV/cell: 5.43
Formation energy (no corrections) in eV/f.u.: 5.69

No. 2
Entry from Alexandria: a relaxed structure of K2YCl6 (PBE).

```
K2YCl6
1.0
8.088 0.000 0.000
-4.044 7.004 0.000
0.000 0.000 4.296
K Y Cl
2 1 6
Direct
0.333 0.667 0.000
0.667 0.333 0.000
0.000 0.000 0.500
0.000 0.234 0.000
0.000 0.650 0.500
0.234 0.000 0.000
0.350 0.350 0.500
0.650 0.000 0.500
0.766 0.766 0.000
```

## Properties
Crystal system: hexagonal
Magnetic moment in μB per cell: 1.1
Fermi-level density of states in states/eV/cell: 8.23
Formation energy (no corrections) in eV/f.u.: -16.02

No. 3
Entry from Alexandria: a relaxed structure of K2YCl (PBE).

```
K2YCl
1.0
3.945 0.000 0.000
0.000 6.309 0.000
0.000 0.000 6.460
K Y Cl
2 1 1
Direct
0.000 0.000 0.000
0.500 0.500 0.000
0.000 0.500 0.500
0.500 0.000 0.500
```

## Properties
Crystal system: orthorhombic
Magnetic moment in μB per cell: 0.5
Fermi-level density of states in states/eV/cell: 3.80
Polymorph energy (0 for the lowest one) in meV/atom: 562.2
Formation energy (no corrections) in eV/f.u.: -0.22